No. 1
Here is LiMg6SiO8 after structural relaxation from Alexandria via LeMat-Bulk. Energies are from GGA-PBE.

a b c (Å): 4.258 4.258 8.462
angles (deg): 90.00 90.00 90.00
Space group P4/mmm (No. 123)
Symmetry-distinct sites (fractional):
1 Li 0.000 0.000 0.000 x1
2 Mg 0.000 0.500 0.239 x4
3 Mg 0.500 0.500 0.000 x1
4 Mg 0.500 0.500 0.500 x1
5 Si 0.000 0.000 0.500 x1
6 O 0.000 0.000 0.277 x2
7 O 0.000 0.500 0.000 x2
8 O 0.000 0.500 0.500 x2
9 O 0.500 0.500 0.253 x2

Values from the calculation:
**Fermi-level density of states**: 2.0 states/eV/f.u.
**Uncorrected formation energy**: -38.7 eV per formula unit
**Crystal system**: tetragonal

***

No. 2
Here is LiMg6SiO8 after structural relaxation from Alexandria via LeMat-Bulk. Energies are from GGA-PBE.

a b c (Å): 4.213 4.213 8.543
angles (deg): 90.00 90.00 90.00
Space group P4/mmm (No. 123)
Symmetry-distinct sites (fractional):
1 Li 0.000 0.000 0.000 x1
2 Mg 0.000 0.000 0.500 x1
3 Mg 0.000 0.500 0.246 x4
4 Mg 0.500 0.500 0.500 x1
5 Si 0.500 0.500 0.000 x1
6 O 0.000 0.000 0.257 x2
7 O 0.000 0.500 0.000 x2
8 O 0.000 0.500 0.500 x2
9 O 0.500 0.500 0.237 x2

Values from the calculation:
**Fermi-level density of states**: 1.7 states/eV/f.u.
**Uncorrected formation energy**: -38.7 eV per formula unit
**Crystal system**: tetragonal

***

No. 3
Here is Li2MgSiO4 after structural relaxation from Alexandria via LeMat-Bulk. Energies are from GGA-PBE.

a b c (Å): 6.196 5.462 4.983
angles (deg): 90.00 90.00 90.00
Space group Pmn2_1 (No. 31)
Symmetry-distinct sites (fractional):
1 Li 0.249 0.167 0.000 x4
2 Mg 0.000 0.342 0.500 x2
3 Si 0.000 0.675 0.008 x2
4 O 0.000 0.387 0.900 x2
5 O 0.000 0.673 0.339 x2
6 O 0.220 0.816 0.901 x4

Values from the calculation:
**Fermi-level density of states**: 0.0 states/eV/f.u.
**Uncorrected formation energy**: -20.8 eV per formula unit
**Crystal system**: orthorhombic

***

No. 4
Here is Li3Mg2SnO6 after structural relaxation from Alexandria via LeMat-Bulk. Energies are from GGA-PBE.

a b c (Å): 5.326 9.247 5.165
angles (deg): 90.00 110.19 90.00
Space group C2/m (No. 12)
Symmetry-distinct sites (fractional):
1 Li 0.000 0.000 0.000 x2
2 Li 0.000 0.324 0.000 x4
3 Mg 0.000 0.167 0.500 x4
4 Sn 0.000 0.500 0.500 x2
5 O 0.243 0.335 0.735 x8
6 O 0.246 0.000 0.732 x4

Values from the calculation:
**Fermi-level density of states**: 7.7 states/eV/f.u.
**Uncorrected formation energy**: -24.1 eV per formula unit
**Crystal system**: monoclinic

***

No. 5
Here is Li2Mg2TcO6 after structural relaxation from Alexandria via LeMat-Bulk. Energies are from GGA-PBE.

a b c (Å): 5.301 8.866 5.229
angles (deg): 90.00 110.46 90.00
Space group C2/m (No. 12)
Symmetry-distinct sites (fractional):
1 Li 0.000 0.167 0.000 x4
2 Mg 0.000 0.338 0.500 x4
3 Tc 0.000 0.000 0.500 x2
4 O 0.225 0.160 0.720 x8
5 O 0.231 0.000 0.280 x4

Values from the calculation:
**Fermi-level density of states**: 3.7 states/eV/f.u.
**Uncorrected formation energy**: -21.7 eV per formula unit
**Crystal system**: monoclinic

***

No. 6
Here is LiMgTc2O8 after structural relaxation from Alexandria via LeMat-Bulk. Energies are from GGA-PBE.

a b c (Å): 6.787 6.787 6.839
angles (deg): 90.00 90.00 90.00
Space group I-4m2 (No. 119)
Symmetry-distinct sites (fractional):
1 Li 0.000 0.000 0.000 x2
2 Mg 0.000 0.500 0.750 x2
3 Tc 0.000 0.000 0.500 x2
4 Tc 0.000 0.500 0.250 x2
5 O 0.000 0.213 0.651 x8
6 O 0.000 0.293 0.097 x8

Values from the calculation:
**Fermi-level density of states**: 4.8 states/eV/f.u.
**Uncorrected formation energy**: -19.6 eV per formula unit
**Crystal system**: tetragonal

***

No. 7
Here is Li3Mg2TcO6 after structural relaxation from Alexandria via LeMat-Bulk. Energies are from GGA-PBE.

a b c (Å): 5.203 9.010 5.176
angles (deg): 90.00 109.77 90.00
Space group C2/m (No. 12)
Symmetry-distinct sites (fractional):
1 Li 0.000 0.000 0.000 x2
2 Li 0.000 0.334 0.000 x4
3 Mg 0.000 0.167 0.500 x4
4 Tc 0.000 0.500 0.500 x2
5 O 0.237 0.340 0.731 x8
6 O 0.242 0.500 0.273 x4

Values from the calculation:
**Fermi-level density of states**: 5.7 states/eV/f.u.
**Uncorrected formation energy**: -24.9 eV per formula unit
**Crystal system**: monoclinic

***

No. 8
Here is Li3Mg2TeO6 after structural relaxation from Alexandria via LeMat-Bulk. Energies are from GGA-PBE.

a b c (Å): 5.320 9.210 5.280
angles (deg): 90.00 109.65 90.00
Space group C2/m (No. 12)
Symmetry-distinct sites (fractional):
1 Li 0.000 0.000 0.000 x2
2 Li 0.000 0.332 0.000 x4
3 Mg 0.000 0.167 0.500 x4
4 Te 0.000 0.500 0.500 x2
5 O 0.241 0.337 0.732 x8
6 O 0.250 0.000 0.730 x4

Values from the calculation:
**Fermi-level density of states**: 3.6 states/eV/f.u.
**Uncorrected formation energy**: -23.4 eV per formula unit
**Crystal system**: monoclinic

***

No. 9
Here is LiMg2TeO6 after structural relaxation from Alexandria via LeMat-Bulk. Energies are from GGA-PBE.

a b c (Å): 5.2324 5.2324 14.2957
angles (deg): 90.00 90.00 120.00
Space group R3 (No. 146, hexagonal axes)
Symmetry-distinct sites (fractional):
1 Li 0.0000 0.0000 0.0000 x3
2 Mg 0.0000 0.0000 0.2116 x3
3 Mg 0.0000 0.0000 0.7252 x3
4 Te 0.0000 0.0000 0.5213 x3
5 O 0.0242 0.3380 0.1206 x9
6 O 0.0491 0.6735 0.2771 x9

Values from the calculation:
**Fermi-level density of states**: 7.6 states/eV/f.u.
**Uncorrected formation energy**: -17.6 eV per formula unit
**Crystal system**: trigonal

***

No. 10
Here is LiMgTeO4 after structural relaxation from Alexandria via LeMat-Bulk. Energies are from GGA-PBE.

a b c (Å): 6.134 6.501 8.704
angles (deg): 90.00 90.00 90.00
Space group Imma (No. 74)
Symmetry-distinct sites (fractional):
1 Li 0.000 0.250 0.146 x4
2 Mg 0.250 0.250 0.750 x4
3 Te 0.000 0.000 0.500 x4
4 O 0.000 0.028 0.731 x8
5 O 0.224 0.250 0.501 x8

Values from the calculation:
**Fermi-level density of states**: 1.7 states/eV/f.u.
**Uncorrected formation energy**: -11.7 eV per formula unit
**Crystal system**: orthorhombic

***

No. 11
Here is Li2MgTi9O20 after structural relaxation from Alexandria via LeMat-Bulk. Energies are from GGA-PBE.

a b c (Å): 5.242 10.066 7.474
angles (deg): 90.00 110.02 90.00
Space group Pm (No. 6)
Symmetry-distinct sites (fractional):
1 Li 0.000 0.000 0.000 x1
2 Li 0.062 0.500 0.307 x1
3 Mg 0.478 0.000 0.497 x1
4 Ti 0.086 0.311 0.974 x2
5 Ti 0.487 0.179 0.833 x2
6 Ti 0.576 0.500 0.802 x1
7 Ti 0.581 0.315 0.462 x2
8 Ti 0.977 0.182 0.333 x2
9 O 0.093 0.000 0.296 x1
10 O 0.213 0.142 0.923 x2
11 O 0.258 0.316 0.240 x2
12 O 0.309 0.188 0.557 x2
13 O 0.353 0.372 0.875 x2
14 O 0.462 0.500 0.531 x1
15 O 0.598 0.000 0.794 x1
16 O 0.707 0.136 0.425 x2
17 O 0.744 0.317 0.747 x2
18 O 0.809 0.198 0.059 x2
19 O 0.850 0.362 0.382 x2
20 O 0.929 0.500 0.993 x1

Values from the calculation:
**Fermi-level density of states**: 0.0 states/eV/f.u.
**Uncorrected formation energy**: -94.4 eV per formula unit
**Crystal system**: monoclinic

***

No. 12
Here is Li3Mg3Ti6O16 after structural relaxation from Alexandria via LeMat-Bulk. Energies are from GGA-PBE.

a b c (Å): 8.469 8.479 8.495
angles (deg): 90.00 90.07 90.00
Space group P2_1 (No. 4)
Symmetry-distinct sites (fractional):
1 Li 0.125 0.000 0.374 x2
2 Li 0.249 0.878 0.000 x2
3 Li 0.373 0.253 0.873 x2
4 Mg 0.002 0.626 0.249 x2
5 Mg 0.252 0.375 0.496 x2
6 Mg 0.499 0.628 0.750 x2
7 Ti 0.118 0.504 0.873 x2
8 Ti 0.120 0.742 0.630 x2
9 Ti 0.127 0.248 0.115 x2
10 Ti 0.365 0.007 0.628 x2
11 Ti 0.368 0.757 0.364 x2
12 Ti 0.384 0.501 0.117 x2
13 O 0.104 0.253 0.361 x2
14 O 0.108 0.022 0.125 x2
15 O 0.110 0.745 0.864 x2
16 O 0.125 0.267 0.888 x2
17 O 0.129 0.511 0.640 x2
18 O 0.139 0.491 0.115 x2
19 O 0.142 0.748 0.392 x2
20 O 0.145 0.991 0.625 x2
21 O 0.357 0.268 0.129 x2
22 O 0.362 0.506 0.895 x2
23 O 0.362 0.764 0.615 x2
24 O 0.375 0.736 0.146 x2
25 O 0.382 0.981 0.389 x2
26 O 0.386 0.513 0.363 x2
27 O 0.390 0.230 0.618 x2
28 O 0.395 0.000 0.856 x2

Values from the calculation:
**Fermi-level density of states**: 2.4 states/eV/f.u.
**Uncorrected formation energy**: -79.6 eV per formula unit
**Crystal system**: monoclinic

***

No. 13
Here is Li2Mg3Ti6O16 after structural relaxation from Alexandria via LeMat-Bulk. Energies are from GGA-PBE.

a b c (Å): 8.474 8.486 8.480
angles (deg): 90.00 90.32 90.00
Space group P2_1 (No. 4)
Symmetry-distinct sites (fractional):
1 Li 0.001 0.000 0.246 x2
2 Li 0.374 0.631 0.873 x2
3 Mg 0.247 0.255 0.995 x2
4 Mg 0.253 0.761 0.498 x2
5 Mg 0.496 0.007 0.748 x2
6 Ti 0.115 0.132 0.615 x2
7 Ti 0.118 0.870 0.867 x2
8 Ti 0.128 0.626 0.125 x2
9 Ti 0.362 0.389 0.623 x2
10 Ti 0.366 0.138 0.371 x2
11 Ti 0.376 0.882 0.120 x2
12 O 0.105 0.646 0.358 x2
13 O 0.109 0.403 0.110 x2
14 O 0.110 0.118 0.864 x2
15 O 0.122 0.653 0.891 x2
16 O 0.142 0.866 0.110 x2
17 O 0.144 0.116 0.398 x2
18 O 0.144 0.900 0.650 x2
19 O 0.149 0.360 0.640 x2
20 O 0.356 0.644 0.131 x2
21 O 0.363 0.886 0.897 x2
22 O 0.366 0.144 0.611 x2
23 O 0.371 0.118 0.144 x2
24 O 0.386 0.895 0.360 x2
25 O 0.388 0.610 0.619 x2
26 O 0.391 0.358 0.392 x2
27 O 0.397 0.375 0.860 x2

Values from the calculation:
**Fermi-level density of states**: 0.0 states/eV/f.u.
**Uncorrected formation energy**: -78.0 eV per formula unit
**Crystal system**: monoclinic

***

No. 14
Here is Li2MgTi3O6 after structural relaxation from Alexandria via LeMat-Bulk. Energies are from GGA-PBE.

a b c (Å): 13.278 2.907 6.065
angles (deg): 90.00 106.28 90.00
Space group C2/m (No. 12)
Symmetry-distinct sites (fractional):
1 Li 0.172 0.000 0.347 x4
2 Mg 0.000 0.500 0.000 x2
3 Ti 0.000 0.500 0.500 x2
4 Ti 0.177 0.000 0.851 x4
5 O 0.004 0.000 0.755 x4
6 O 0.159 0.500 0.591 x4
7 O 0.161 0.500 0.085 x4

Values from the calculation:
**Fermi-level density of states**: 1.8 states/eV/f.u.
**Uncorrected formation energy**: -31.1 eV per formula unit
**Crystal system**: monoclinic